Record 1
A plane-wave DFT calculation with GGA-PBE was carried out for V2GaBiTe after structural relaxation.

Geometry as POSCAR:
```
V2GaBiTe
1.0
4.9136 0.0000 0.0000
0.0000 5.2306 0.0000
0.0000 0.0000 4.9136
Bi V Te Ga
1 2 1 1
direct
0.5000 0.5000 0.5000
0.0000 0.0000 0.5000
0.5000 0.0000 0.0000
0.0000 0.5000 0.0000
0.0000 0.0000 0.0000
```

As for the uncorrected formation energy: 88.02 kJ/mol of atoms. The density of states at the Fermi level is 7.50 states/eV/cell. The value obtained for the total magnetization is 5.6 μB per cell. The density comes out at 6.682 Mg/m³. The calculation puts the total energy at -4.745 eV/atom.

Record 2
A plane-wave DFT calculation with GGA-PBE was carried out for Sm2Dy5Sb5 after structural relaxation.

Geometry as POSCAR:
```
Sm2Dy5Sb5
1.0
-0.0892 -2.3845 3.6319
-2.1090 -4.4047 -5.5435
12.7256 -0.2951 0.1187
Sm Sb Dy
2 5 5
direct
0.9628 0.9256 0.2203
0.0372 0.0744 0.7797
0.0000 0.0000 0.0000
0.8767 0.7533 0.5619
0.2996 0.5993 0.1996
0.1233 0.2467 0.4381
0.7004 0.4007 0.8004
0.5000 0.0000 0.5000
0.3418 0.6836 0.9601
0.2761 0.5522 0.6563
0.7239 0.4478 0.3437
0.6582 0.3164 0.0399
```

As for the uncorrected formation energy: -81.75 kJ/mol of atoms. The density of states at the Fermi level is 8.79 states/eV/cell. The value obtained for the total magnetization is 0.0 μB per cell. The density comes out at 7.653 Mg/m³. The calculation puts the total energy at -5.269 eV/atom.

Record 3
A plane-wave DFT calculation with GGA-PBE was carried out for GaPb2CS after structural relaxation.

Geometry as POSCAR:
```
GaPb2CS
1.0
5.6718 0.0000 0.0000
0.0000 3.6499 0.0000
0.0000 0.0000 5.6718
Ga Pb C S
1 2 1 1
direct
0.0000 0.0000 0.0000
0.5000 0.0000 0.0000
0.0000 0.0000 0.5000
0.0000 0.5000 0.0000
0.5000 0.5000 0.5000
```

As for the uncorrected formation energy: 75.64 kJ/mol of atoms. The density of states at the Fermi level is 1.58 states/eV/cell. The value obtained for the total magnetization is 0.0 μB per cell. The density comes out at 7.470 Mg/m³. The calculation puts the total energy at -3.975 eV/atom.

Record 4
A plane-wave DFT calculation with GGA-PBE was carried out for Cd3InTe after structural relaxation.

Geometry as POSCAR:
```
Cd3InTe
1.0
5.7722 0.0000 0.0000
0.0000 5.7722 0.0000
0.0000 0.0000 5.7722
Cd Te In
3 1 1
direct
0.0000 0.0000 0.5000
0.0000 0.5000 0.0000
0.5000 0.0000 0.0000
0.0000 0.0000 0.0000
0.5000 0.5000 0.5000
```

As for the uncorrected formation energy: 39.50 kJ/mol of atoms. The density of states at the Fermi level is 4.90 states/eV/cell. The value obtained for the total magnetization is 0.0 μB per cell. The density comes out at 5.005 Mg/m³. The calculation puts the total energy at -1.316 eV/atom.

Record 5
A plane-wave DFT calculation with GGA-PBE was carried out for Sb2IrOs after structural relaxation.

Geometry as POSCAR:
```
Sb2IrOs
1.0
-3.6035 2.9153 -3.8470
-5.9875 0.2956 0.5881
5.5776 1.0985 1.9920
Ir Sb Os
1 2 1
direct
0.4796 0.4796 0.0000
0.0294 0.0294 0.0000
0.7232 0.2232 0.5000
0.2678 0.7678 0.5000
```

As for the uncorrected formation energy: 50.14 kJ/mol of atoms. The density of states at the Fermi level is 3.83 states/eV/cell. The value obtained for the total magnetization is 0.0 μB per cell. The density comes out at 13.644 Mg/m³. The calculation puts the total energy at -6.564 eV/atom.

Record 6
A plane-wave DFT calculation with GGA-PBE was carried out for Ca2MgZr after structural relaxation.

Geometry as POSCAR:
```
Ca2MgZr
1.0
7.6536 -0.0063 -0.0215
-3.0967 5.3893 -0.0063
1.4602 0.8446 2.8787
Mg Zr Ca
1 1 2
direct
0.0000 0.5000 0.5000
0.5000 0.5000 0.0000
0.0000 0.0000 0.0000
0.5000 0.0000 0.5000
```

The density of states at the Fermi level is 5.21 states/eV/cell. The value obtained for the total magnetization is 1.0 μB per cell. The density comes out at 2.732 Mg/m³. The calculation puts the total energy at -3.264 eV/atom.

Record 7
A plane-wave DFT calculation with GGA-PBE was carried out for TbPmIr2 after structural relaxation.

Geometry as POSCAR:
```
TbPmIr2
1.0
4.9269 0.0000 0.0000
2.4635 4.2668 0.0000
2.4635 1.4223 4.0228
Ir Pm Tb
2 1 1
direct
0.2500 0.2500 0.2500
0.7500 0.7500 0.7500
0.5000 0.5000 0.5000
0.0000 0.0000 0.0000
```

The density of states at the Fermi level is 2.50 states/eV/cell. The value obtained for the total magnetization is 0.0 μB per cell. The density comes out at 13.516 Mg/m³. The calculation puts the total energy at -7.458 eV/atom.

Record 8
A plane-wave DFT calculation with GGA-PBE was carried out for Si2AgI after structural relaxation.

Geometry as POSCAR:
```
Si2AgI
1.0
6.1113 0.0000 0.0000
0.0000 6.1113 0.0000
3.0556 3.0556 6.2041
Ag I Si
2 2 4
direct
0.5000 0.5000 0.0000
0.2500 0.7500 0.5000
0.0000 0.0000 0.0000
0.7500 0.2500 0.5000
0.3750 0.4503 0.7500
0.2003 0.6250 0.2500
0.5497 0.1250 0.2500
0.8750 0.7997 0.7500
```

As for the uncorrected formation energy: 67.74 kJ/mol of atoms. The density of states at the Fermi level is 0.06 states/eV/cell. The value obtained for the total magnetization is 0.0 μB per cell. The density comes out at 4.170 Mg/m³. The calculation puts the total energy at -3.110 eV/atom.

Record 9
A plane-wave DFT calculation with GGA-PBE was carried out for MgTa2W after structural relaxation.

Geometry as POSCAR:
```
MgTa2W
1.0
-1.3981 1.1294 2.1015
-1.0501 -2.4784 0.6334
7.3906 -1.6483 5.8027
Mg Ta W
1 2 1
direct
0.5000 0.5000 0.7500
0.0000 0.0000 0.0088
0.0000 0.0000 0.4912
0.5000 0.5000 0.2500
```

The density of states at the Fermi level is 4.09 states/eV/cell. The value obtained for the total magnetization is 0.0 μB per cell. The density comes out at 12.977 Mg/m³. The calculation puts the total energy at -9.251 eV/atom.

Record 10
A plane-wave DFT calculation with GGA-PBE was carried out for Pu2MoRh after structural relaxation.

Geometry as POSCAR:
```
Pu2MoRh
1.0
3.4301 0.0000 0.0000
0.0000 4.8074 0.0000
0.0000 0.0000 4.8074
Rh Pu Mo
1 2 1
direct
0.5000 0.0000 0.0000
0.0000 0.0000 0.5000
0.0000 0.5000 0.0000
0.5000 0.5000 0.5000
```

The density of states at the Fermi level is 11.76 states/eV/cell. The value obtained for the total magnetization is 8.5 μB per cell. The density comes out at 14.387 Mg/m³. The calculation puts the total energy at -11.714 eV/atom.

Record 11
A plane-wave DFT calculation with GGA-PBE was carried out for AcBRu after structural relaxation.

Geometry as POSCAR:
```
AcBRu
1.0
4.1031 0.3331 -0.1143
0.7263 4.0520 -0.1148
0.0342 0.0314 8.5972
Ru B Ac
2 2 2
direct
0.8629 0.9158 0.9837
0.2643 0.3172 0.8555
0.3884 0.7916 0.9196
0.7388 0.4413 0.9196
0.2646 0.3174 0.1996
0.8627 0.9155 0.6396
```

The density of states at the Fermi level is 5.63 states/eV/cell. The value obtained for the total magnetization is 0.0 μB per cell. The density comes out at 7.989 Mg/m³. The calculation puts the total energy at -6.943 eV/atom.

Record 12
A plane-wave DFT calculation with GGA-PBE was carried out for KAgB3 after structural relaxation.

Geometry as POSCAR:
```
KAgB3
1.0
4.8887 0.0000 0.0000
0.0000 4.8887 0.0000
0.0000 0.0000 4.8887
B Ag K
3 1 1
direct
0.0000 0.5000 0.0000
0.0000 0.0000 0.5000
0.5000 0.0000 0.0000
0.5000 0.5000 0.5000
0.0000 0.0000 0.0000
```

The density of states at the Fermi level is 7.35 states/eV/cell. The value obtained for the total magnetization is 0.0 μB per cell. The density comes out at 2.550 Mg/m³. The calculation puts the total energy at -1.493 eV/atom.

Record 13
A plane-wave DFT calculation with GGA-PBE was carried out for Cr3MoN after structural relaxation.

Geometry as POSCAR:
```
Cr3MoN
1.0
3.8451 0.0000 0.0000
0.0000 3.8451 0.0000
0.0000 0.0000 3.8451
Cr N Mo
3 1 1
direct
0.5000 0.0000 0.0000
0.0000 0.0000 0.5000
0.0000 0.5000 0.0000
0.0000 0.0000 0.0000
0.5000 0.5000 0.5000
```

As for the uncorrected formation energy: -14.44 kJ/mol of atoms. The density of states at the Fermi level is 5.78 states/eV/cell. The value obtained for the total magnetization is 0.8 μB per cell. The density comes out at 7.768 Mg/m³. The calculation puts the total energy at -9.755 eV/atom.

Record 14
A plane-wave DFT calculation with GGA-PBE was carried out for SrLaGe2 after structural relaxation.

Geometry as POSCAR:
```
SrLaGe2
1.0
4.1607 0.0000 0.0000
0.0000 6.1708 0.0000
0.0000 0.0000 8.6833
Sr Ge La
2 4 2
direct
0.5000 0.3675 0.3194
0.5000 0.6325 0.8194
0.0000 0.6371 0.5324
0.0000 0.3629 0.0324
0.5000 0.8903 0.4649
0.5000 0.1097 0.9649
0.0000 0.1390 0.6833
0.0000 0.8610 0.1833
```

The density of states at the Fermi level is 5.79 states/eV/cell. The value obtained for the total magnetization is 0.9 μB per cell. The density comes out at 5.539 Mg/m³. The calculation puts the total energy at -4.658 eV/atom.

Record 15
A plane-wave DFT calculation with GGA-PBE was carried out for CrCd2Ag after structural relaxation.

Geometry as POSCAR:
```
CrCd2Ag
1.0
-4.3573 1.8963 -0.3408
-3.7238 -2.7667 -1.0847
-3.2873 -0.9743 3.3079
Cd Ag Cr
2 1 1
direct
0.0000 0.0000 0.0000
0.2500 0.2500 0.2500
0.5000 0.5000 0.5000
0.7500 0.7500 0.7500
```

The density of states at the Fermi level is 2.19 states/eV/cell. The value obtained for the total magnetization is 4.2 μB per cell. The density comes out at 8.354 Mg/m³. The calculation puts the total energy at -3.333 eV/atom.

Record 16
A plane-wave DFT calculation with GGA-PBE was carried out for YTa2Cd after structural relaxation.

Geometry as POSCAR:
```
YTa2Cd
1.0
4.9147 0.0000 0.0000
2.4574 4.2563 0.0000
2.4574 1.4188 4.0128
Ta Cd Y
2 1 1
direct
0.0000 0.0000 0.0000
0.2500 0.2500 0.2500
0.5000 0.5000 0.5000
0.7500 0.7500 0.7500
```

The density of states at the Fermi level is 3.76 states/eV/cell. The value obtained for the total magnetization is 0.0 μB per cell. The density comes out at 11.142 Mg/m³. The calculation puts the total energy at -7.432 eV/atom.

Record 17
A plane-wave DFT calculation with GGA-PBE was carried out for Pm4PaO10 after structural relaxation.

Geometry as POSCAR:
```
Pm4PaO10
1.0
-2.3031 -3.4897 -3.8208
3.5779 -5.4475 -1.3781
-4.3487 -4.6528 2.6734
Pa Pm O
1 4 10
direct
0.0000 0.0000 0.0000
0.1995 0.4047 0.1956
0.8005 0.5953 0.8044
0.4004 0.8038 0.3946
0.5996 0.1962 0.6054
0.9606 0.8954 0.7068
0.3331 0.7187 0.0930
0.7483 0.5006 0.5004
0.1453 0.2810 0.9066
0.2517 0.4994 0.4996
0.6670 0.2812 0.9070
0.0394 0.1046 0.2932
0.8547 0.7190 0.0934
0.5620 0.1046 0.2935
0.4380 0.8954 0.7065
```

As for the uncorrected formation energy: -294.29 kJ/mol of atoms. The density of states at the Fermi level is 9.42 states/eV/cell. The value obtained for the total magnetization is 3.1 μB per cell. The density comes out at 7.503 Mg/m³. The calculation puts the total energy at -8.255 eV/atom.

Record 18
A plane-wave DFT calculation with GGA-PBE was carried out for La3Ga2Cu3 after structural relaxation.

Geometry as POSCAR:
```
La3Ga2Cu3
1.0
-2.5094 1.0754 -3.5840
-3.2231 -1.8411 4.5361
-1.0448 13.9292 4.9113
La Cu Ga
6 6 4
direct
0.4016 0.8032 0.7500
0.8974 0.7949 0.1015
0.1026 0.2051 0.6015
0.5984 0.1968 0.2500
0.1026 0.2051 0.8985
0.8974 0.7949 0.3985
0.6105 0.2211 0.4602
0.3045 0.6091 0.2500
0.6955 0.3909 0.7500
0.6105 0.2211 0.0398
0.3895 0.7789 0.9602
0.3895 0.7789 0.5398
0.8034 0.6068 0.9017
0.1966 0.3932 0.0983
0.8034 0.6068 0.5983
0.1966 0.3932 0.4017
```

The density of states at the Fermi level is 15.88 states/eV/cell. The value obtained for the total magnetization is 0.0 μB per cell. The density comes out at 6.871 Mg/m³. The calculation puts the total energy at -4.515 eV/atom.

Record 19
A plane-wave DFT calculation with GGA-PBE was carried out for KRbPbN2 after structural relaxation.

Geometry as POSCAR:
```
KRbPbN2
1.0
5.3688 0.0000 0.0000
0.0000 6.6368 0.0000
0.0000 0.0000 5.3688
Rb N K Pb
1 2 1 1
direct
0.0000 0.0000 0.0000
0.0000 0.0000 0.5000
0.5000 0.0000 0.0000
0.5000 0.5000 0.5000
0.0000 0.5000 0.0000
```

As for the uncorrected formation energy: 179.35 kJ/mol of atoms. The density of states at the Fermi level is 5.21 states/eV/cell. The value obtained for the total magnetization is 3.7 μB per cell. The density comes out at 3.123 Mg/m³. The calculation puts the total energy at -2.626 eV/atom.

Record 20
A plane-wave DFT calculation with GGA-PBE was carried out for CsNiI after structural relaxation.

Geometry as POSCAR:
```
CsNiI
1.0
8.4558 -0.0016 0.0322
1.4613 4.9468 0.0048
2.0294 -0.6041 5.4854
I Cs Ni
2 2 2
direct
0.8522 0.2754 0.1910
0.3030 0.0305 0.4658
0.3291 0.5168 0.9529
0.8275 0.7847 0.7033
0.5736 0.6452 0.3299
0.5814 0.1418 0.3261
```

As for the uncorrected formation energy: -32.95 kJ/mol of atoms. The density of states at the Fermi level is 0.00 states/eV/cell. The value obtained for the total magnetization is 0.0 μB per cell. The density comes out at 4.616 Mg/m³. The calculation puts the total energy at -3.070 eV/atom.